Material: Nb3RhSe4
Method: DFT, PBE
State: relaxed

abc: 6.691 7.035 6.831
angles: 90.00 90.00 90.00
Fractional coordinates of all 16 atoms:
Rh: 0.922 0.251 0.000
Se: 0.081 0.885 0.500
Nb: 0.425 0.753 0.000
Nb: 0.066 0.609 0.259
Se: 0.194 0.277 0.247
Se: 0.069 0.884 0.000
Se: 0.581 0.115 0.000
Nb: 0.566 0.391 0.759
Se: 0.694 0.723 0.253
Nb: 0.566 0.391 0.241
Se: 0.194 0.277 0.753
Nb: 0.066 0.609 0.741
Rh: 0.422 0.749 0.500
Nb: 0.925 0.247 0.500
Se: 0.694 0.723 0.747
Se: 0.569 0.116 0.500

E_form (uncorrected): -3.42 eV/f.u.
Space-group type: No. 31
V: 160.8 Å³/f.u.
Total DFT energy (no corrections): -6.865 eV/atom

=====

Material: NbRh2Se6
Method: DFT, PBE
State: relaxed

abc: 4.574 6.218 8.334
angles: 70.04 74.07 68.42
Fractional coordinates of all 9 atoms:
Se: 0.347 0.301 0.005
Se: 0.646 0.302 0.407
Se: 0.992 0.810 0.206
Rh: 0.815 0.259 0.112
Rh: 0.185 0.741 0.888
Se: 0.653 0.699 0.995
Nb: 0.000 0.500 0.500
Se: 0.354 0.698 0.593
Se: 0.008 0.190 0.794

E_form (uncorrected): -2.22 eV/f.u.
Space-group type: No. 12
V: 204.1 Å³/f.u.
Total DFT energy (no corrections): -5.323 eV/atom

=====

Material: Nb2RhSe5
Method: DFT, PBE
State: relaxed

abc: 5.091 7.038 11.323
angles: 90.00 90.00 111.21
Fractional coordinates of all 16 atoms:
Se: 0.659 0.318 0.908
Se: 0.043 0.085 0.382
Se: 0.659 0.318 0.592
Se: 0.745 0.489 0.250
Se: 0.341 0.682 0.092
Rh: 0.796 0.591 0.750
Rh: 0.204 0.409 0.250
Nb: 0.822 0.644 0.472
Se: 0.957 0.915 0.618
Se: 0.255 0.511 0.750
Se: 0.957 0.915 0.882
Nb: 0.178 0.356 0.528
Nb: 0.178 0.356 0.972
Nb: 0.822 0.644 0.028
Se: 0.043 0.085 0.118
Se: 0.341 0.682 0.408

E_form (uncorrected): -4.09 eV/f.u.
Space-group type: No. 63
V: 189.1 Å³/f.u.
Total DFT energy (no corrections): -6.125 eV/atom
Energy relative to the lowest polymorph listed for this composition: 0.000 eV/atom

=====

Material: Nb2RhSe6
Method: DFT, PBE
State: relaxed

abc: 6.281 6.266 9.770
angles: 90.00 91.84 90.00
Fractional coordinates of all 18 atoms:
Nb: 0.068 0.648 0.249
Se: 0.837 0.668 0.921
Se: 0.813 0.662 0.577
Se: 0.827 0.967 0.263
Se: 0.173 0.033 0.737
Se: 0.673 0.467 0.237
Se: 0.163 0.332 0.079
Se: 0.187 0.338 0.423
Nb: 0.932 0.352 0.751
Nb: 0.568 0.852 0.749
Nb: 0.432 0.148 0.251
Se: 0.663 0.168 0.579
Se: 0.687 0.162 0.923
Se: 0.337 0.832 0.421
Rh: 0.500 0.500 0.000
Se: 0.313 0.838 0.077
Rh: 0.000 0.000 0.500
Se: 0.327 0.533 0.763

E_form (uncorrected): -4.51 eV/f.u.
Space-group type: No. 14
V: 192.2 Å³/f.u.
Total DFT energy (no corrections): -5.878 eV/atom

=====

Material: NbRhSe4
Method: DFT, PBE
State: relaxed

abc: 5.696 6.145 8.296
angles: 112.41 110.80 88.18
Fractional coordinates of all 12 atoms:
Rh: 0.062 0.812 0.623
Se: 0.331 0.483 0.601
Se: 0.002 0.737 0.887
Nb: 0.299 0.549 0.099
Se: 0.230 0.881 0.399
Se: 0.385 0.150 0.887
Se: 0.615 0.850 0.113
Se: 0.998 0.263 0.113
Rh: 0.938 0.188 0.377
Se: 0.669 0.517 0.399
Nb: 0.701 0.451 0.901
Se: 0.770 0.119 0.601

E_form (uncorrected): -2.69 eV/f.u.
Space-group type: No. 15
V: 124.6 Å³/f.u.
Total DFT energy (no corrections): -5.676 eV/atom

=====

Material: Nb2RhSe4
Method: DFT, PBE
State: relaxed

abc: 3.593 6.120 7.235
angles: 115.60 104.38 90.00
Fractional coordinates of all 7 atoms:
Rh: 0.000 0.000 0.000
Se: 0.618 0.288 0.235
Se: 0.883 0.226 0.765
Nb: 0.750 0.751 0.500
Nb: 0.250 0.249 0.500
Se: 0.382 0.712 0.765
Se: 0.117 0.774 0.235

E_form (uncorrected): -4.51 eV/f.u.
Space-group type: No. 12
V: 137.9 Å³/f.u.
Total DFT energy (no corrections): -6.563 eV/atom

=====

Material: NbRhSe3
Method: DFT, PBE
State: relaxed

abc: 5.007 5.007 5.007
angles: 90.00 90.00 90.00
Fractional coordinates of all 5 atoms:
Se: 0.000 0.000 0.500
Se: 0.500 0.000 0.000
Se: 0.000 0.500 0.000
Nb: 0.000 0.000 0.000
Rh: 0.500 0.500 0.500

E_form (uncorrected): 2.26 eV/f.u.
Space-group type: No. 221
V: 125.5 Å³/f.u.
Total DFT energy (no corrections): -5.122 eV/atom
Energy relative to the lowest polymorph listed for this composition: 0.886 eV/atom

=====

Material: NbRhSe3
Method: DFT, PBE
State: relaxed

abc: 3.531 7.279 9.211
angles: 107.17 90.00 90.00
Fractional coordinates of all 10 atoms:
Rh: 0.750 0.872 0.817
Nb: 0.250 0.273 0.514
Se: 0.750 0.187 0.018
Se: 0.250 0.813 0.982
Se: 0.750 0.521 0.676
Rh: 0.250 0.128 0.183
Se: 0.250 0.907 0.355
Se: 0.250 0.479 0.324
Se: 0.750 0.093 0.645
Nb: 0.750 0.727 0.486

E_form (uncorrected): -2.17 eV/f.u.
Space-group type: No. 11
V: 113.1 Å³/f.u.
Total DFT energy (no corrections): -6.008 eV/atom
Energy relative to the lowest polymorph listed for this composition: 0.000 eV/atom

=====

Material: NbRh2Se
Method: DFT, PBE
State: relaxed

abc: 5.659 5.659 6.859
angles: 65.64 65.64 90.00
Fractional coordinates of all 8 atoms:
Se: 0.500 0.500 0.000
Nb: 0.000 0.000 0.000
Rh: 0.614 0.125 0.250
Rh: 0.136 0.625 0.250
Se: 0.250 0.750 0.500
Rh: 0.875 0.864 0.750
Nb: 0.750 0.250 0.500
Rh: 0.375 0.386 0.750

E_form (uncorrected): 0.67 eV/f.u.
Space-group type: No. 122
V: 89.2 Å³/f.u.
Total DFT energy (no corrections): -6.897 eV/atom

=====

Material: Nb2RhSe5
Method: DFT, PBE
State: relaxed

abc: 4.684 6.861 7.143
angles: 83.57 70.86 70.04
Fractional coordinates of all 8 atoms:
Nb: 0.189 0.500 0.122
Nb: 0.811 0.500 0.878
Se: 0.000 0.500 0.500
Rh: 0.500 0.500 0.500
Se: 0.468 0.253 0.811
Se: 0.779 0.253 0.189
Se: 0.221 0.747 0.811
Se: 0.532 0.747 0.189

E_form (uncorrected): -3.79 eV/f.u.
Space-group type: No. 69
V: 203.8 Å³/f.u.
Total DFT energy (no corrections): -6.088 eV/atom
Energy relative to the lowest polymorph listed for this composition: 0.037 eV/atom

=====

Material: Ti2NbRhSe
Method: DFT, PBE
State: relaxed

abc: 4.726 4.567 4.726
angles: 90.00 90.00 90.00
Fractional coordinates of all 5 atoms:
Nb: 0.500 0.500 0.500
Se: 0.000 0.500 0.000
Ti: 0.500 0.000 0.000
Rh: 0.000 0.000 0.000
Ti: 0.000 0.000 0.500

E_form (uncorrected): 3.28 eV/f.u.
Space-group type: No. 123
V: 102.0 Å³/f.u.
Total DFT energy (no corrections): -6.683 eV/atom

=====

Material: Nb2Tl2RhSe6
Method: DFT, PBE
State: relaxed

abc: 6.304 6.304 8.682
angles: 95.34 95.34 122.44
Fractional coordinates of all 11 atoms:
Nb: 0.366 0.634 0.500
Se: 0.746 0.746 0.709
Rh: 0.000 0.000 0.500
Se: 0.254 0.254 0.291
Nb: 0.634 0.366 0.500
Tl: 0.800 0.200 0.000
Tl: 0.200 0.800 0.000
Se: 0.627 0.969 0.329
Se: 0.969 0.627 0.329
Se: 0.031 0.373 0.671
Se: 0.373 0.031 0.671

E_form (uncorrected): -6.17 eV/f.u.
Space-group type: No. 12
V: 285.8 Å³/f.u.
Total DFT energy (no corrections): -5.391 eV/atom

=====

Material: Nb3SiRh
Method: DFT, PBE
State: relaxed

abc: 4.606 4.606 4.606
angles: 90.00 90.00 90.00
Fractional coordinates of all 5 atoms:
Rh: 0.500 0.500 0.500
Nb: 0.000 0.500 0.000
Nb: 0.500 0.000 0.000
Nb: 0.000 0.000 0.500
Si: 0.000 0.000 0.000

E_form (uncorrected): 3.44 eV/f.u.
Space-group type: No. 221
V: 97.7 Å³/f.u.
Total DFT energy (no corrections): -7.908 eV/atom
Energy relative to the lowest polymorph listed for this composition: 0.000 eV/atom

=====

Material: NbSi3Rh
Method: DFT, PBE
State: relaxed

abc: 4.542 4.542 4.542
angles: 90.00 90.00 90.00
Fractional coordinates of all 5 atoms:
Si: 0.000 0.000 0.500
Si: 0.000 0.500 0.000
Nb: 0.500 0.500 0.500
Si: 0.500 0.000 0.000
Rh: 0.000 0.000 0.000

E_form (uncorrected): 3.97 eV/f.u.
Space-group type: No. 221
V: 93.7 Å³/f.u.
Total DFT energy (no corrections): -5.944 eV/atom

=====

Material: Nb2SiRh
Method: DFT, PBE
State: relaxed

abc: 7.077 7.077 5.700
angles: 51.62 51.62 90.00
Fractional coordinates of all 8 atoms:
Nb: 0.127 0.625 0.250
Si: 0.500 0.500 0.000
Nb: 0.623 0.125 0.250
Rh: 0.000 0.000 0.000
Si: 0.250 0.750 0.500
Rh: 0.750 0.250 0.500
Nb: 0.375 0.377 0.750
Nb: 0.875 0.873 0.750

E_form (uncorrected): -0.09 eV/f.u.
Space-group type: No. 122
V: 68.3 Å³/f.u.
Total DFT energy (no corrections): -8.252 eV/atom

=====

Material: Nb2SiRh5
Method: DFT, PBE
State: relaxed

abc: 4.017 5.499 10.715
angles: 90.00 90.00 90.00
Fractional coordinates of all 16 atoms:
Si: 0.000 0.500 0.000
Nb: 0.500 0.675 0.642
Si: 0.000 0.000 0.500
Nb: 0.500 0.325 0.358
Rh: 0.000 0.500 0.500
Rh: 0.000 0.569 0.240
Rh: 0.000 0.431 0.760
Rh: 0.500 0.681 0.898
Rh: 0.000 0.069 0.260
Rh: 0.000 0.000 0.000
Rh: 0.500 0.819 0.398
Nb: 0.500 0.825 0.142
Nb: 0.500 0.175 0.858
Rh: 0.000 0.931 0.740
Rh: 0.500 0.319 0.102
Rh: 0.500 0.181 0.602

E_form (uncorrected): -4.82 eV/f.u.
Space-group type: No. 55
V: 118.4 Å³/f.u.
Total DFT energy (no corrections): -8.393 eV/atom

=====

Material: NbSiRh
Method: DFT, PBE
State: relaxed

abc: 3.773 6.446 7.362
angles: 90.00 90.00 90.00
Fractional coordinates of all 12 atoms:
Si: 0.250 0.269 0.125
Nb: 0.750 0.974 0.173
Nb: 0.250 0.526 0.673
Si: 0.750 0.231 0.625
Si: 0.750 0.731 0.875
Nb: 0.250 0.026 0.827
Rh: 0.750 0.855 0.563
Rh: 0.250 0.145 0.437
Si: 0.250 0.769 0.375
Rh: 0.250 0.645 0.063
Nb: 0.750 0.474 0.327
Rh: 0.750 0.355 0.937

E_form (uncorrected): -2.64 eV/f.u.
Space-group type: No. 62
V: 44.8 Å³/f.u.
Total DFT energy (no corrections): -8.495 eV/atom

=====

Material: NbSi3Rh
Method: DFT, PBE
State: relaxed

abc: 4.763 4.763 4.763
angles: 90.00 90.00 90.00
Fractional coordinates of all 5 atoms:
Si: 0.000 0.000 0.500
Rh: 0.500 0.500 0.500
Si: 0.000 0.500 0.000
Si: 0.500 0.000 0.000
Nb: 0.000 0.000 0.000

E_form (uncorrected): 5.40 eV/f.u.
Space-group type: No. 221
V: 108.0 Å³/f.u.
Total DFT energy (no corrections): -5.658 eV/atom

=====

Material: NbSiRh
Method: DFT, PBE
State: relaxed

abc: 2.902 2.902 5.626
angles: 104.95 104.95 90.00
Fractional coordinates of all 3 atoms:
Nb: 0.008 0.008 0.017
Si: 0.681 0.681 0.363
Rh: 0.310 0.310 0.620

E_form (uncorrected): -1.97 eV/f.u.
Space-group type: No. 107
V: 44.1 Å³/f.u.
Total DFT energy (no corrections): -8.271 eV/atom

=====

Material: NbSiRh2
Method: DFT, PBE
State: relaxed

abc: 2.852 2.852 7.077
angles: 90.00 90.00 90.00
Fractional coordinates of all 4 atoms:
Nb: 0.500 0.500 0.500
Rh: 0.000 0.000 0.206
Si: 0.500 0.500 0.000
Rh: 0.000 0.000 0.794

E_form (uncorrected): -2.73 eV/f.u.
Space-group type: No. 123
V: 57.6 Å³/f.u.
Total DFT energy (no corrections): -8.232 eV/atom

=====

Material: NbSiRh
Method: DFT, PBE
State: relaxed

abc: 3.777 6.461 11.044
angles: 89.52 90.00 90.00
Fractional coordinates of all 18 atoms:
Si: 0.750 0.237 0.085
Rh: 0.750 0.147 0.540
Nb: 0.250 0.349 0.923
Rh: 0.750 0.014 0.908
Si: 0.750 0.764 0.585
Rh: 0.250 0.364 0.206
Rh: 0.250 0.853 0.460
Si: 0.750 0.272 0.749
Nb: 0.750 0.651 0.077
Nb: 0.250 0.470 0.616
Rh: 0.750 0.636 0.794
Rh: 0.250 0.986 0.092
Si: 0.250 0.236 0.415
Nb: 0.750 0.019 0.291
Si: 0.250 0.763 0.915
Nb: 0.250 0.981 0.709
Nb: 0.750 0.530 0.384
Si: 0.250 0.728 0.251

E_form (uncorrected): -2.53 eV/f.u.
Space-group type: No. 11
V: 44.9 Å³/f.u.
Total DFT energy (no corrections): -8.457 eV/atom

=====

Material: NbSiRh3
Method: DFT, PBE
State: relaxed

abc: 4.370 4.370 4.370
angles: 90.00 90.00 90.00
Fractional coordinates of all 5 atoms:
Rh: 0.000 0.500 0.000
Rh: 0.000 0.000 0.500
Rh: 0.500 0.000 0.000
Si: 0.000 0.000 0.000
Nb: 0.500 0.500 0.500

E_form (uncorrected): 0.98 eV/f.u.
Space-group type: No. 221
V: 83.5 Å³/f.u.
Total DFT energy (no corrections): -7.314 eV/atom
Energy relative to the lowest polymorph listed for this composition: 0.000 eV/atom

=====

Material: NbSiRh2
Method: DFT, PBE
State: relaxed

abc: 5.355 5.355 6.934
angles: 67.29 67.29 90.00
Fractional coordinates of all 8 atoms:
Nb: 0.750 0.250 0.500
Si: 0.500 0.500 0.000
Rh: 0.592 0.125 0.250
Rh: 0.158 0.625 0.250
Rh: 0.875 0.842 0.750
Nb: 0.000 0.000 0.000
Rh: 0.375 0.408 0.750
Si: 0.250 0.750 0.500

E_form (uncorrected): 0.59 eV/f.u.
Space-group type: No. 122
V: 83.3 Å³/f.u.
Total DFT energy (no corrections): -7.402 eV/atom